Record 1
# Y3MgTi (GGA-PBE, relaxed)
# Crystal system   cubic
# Energy above the most stable polymorph in this dataset   0.00 eV per formula unit
data_Y3MgTi
_chemical_formula_sum 'Y3 Mg1 Ti1'
_cell_length_a 5.4087
_cell_length_b 5.4087
_cell_length_c 5.4087
_cell_angle_alpha 90.00
_cell_angle_beta 90.00
_cell_angle_gamma 90.00
_symmetry_space_group_name_H-M 'P m -3 m'
_symmetry_Int_Tables_number 221
_symmetry_space_group_name_Hall '-P 4 2 3'
loop_
_atom_site_label
_atom_site_type_symbol
_atom_site_fract_x
_atom_site_fract_y
_atom_site_fract_z
Y1 Y 0.0000 0.0000 0.5000
Mg1 Mg 0.5000 0.5000 0.5000
Ti1 Ti 0.0000 0.0000 0.0000

Record 2
# YMg3Ti (GGA-PBE, relaxed)
# Crystal system   cubic
# Energy above the most stable polymorph in this dataset   0.00 eV per formula unit
data_YMg3Ti
_chemical_formula_sum 'Y1 Mg3 Ti1'
_cell_length_a 5.1867
_cell_length_b 5.1867
_cell_length_c 5.1867
_cell_angle_alpha 90.00
_cell_angle_beta 90.00
_cell_angle_gamma 90.00
_symmetry_space_group_name_H-M 'P m -3 m'
_symmetry_Int_Tables_number 221
_symmetry_space_group_name_Hall '-P 4 2 3'
loop_
_atom_site_label
_atom_site_type_symbol
_atom_site_fract_x
_atom_site_fract_y
_atom_site_fract_z
Y1 Y 0.0000 0.0000 0.0000
Mg1 Mg 0.0000 0.5000 0.5000
Ti1 Ti 0.5000 0.5000 0.5000

Record 3
# YMg2Ti2 (GGA-PBE, relaxed)
# Crystal system   tetragonal
# Energy above the most stable polymorph in this dataset   0.00 eV per formula unit
data_YMg2Ti2
_chemical_formula_sum 'Y2 Mg4 Ti4'
_cell_length_a 8.3606
_cell_length_b 8.3606
_cell_length_c 3.1590
_cell_angle_alpha 90.00
_cell_angle_beta 90.00
_cell_angle_gamma 90.00
_symmetry_space_group_name_H-M 'P 4/m b m'
_symmetry_Int_Tables_number 127
_symmetry_space_group_name_Hall '-P 4 2ab'
loop_
_atom_site_label
_atom_site_type_symbol
_atom_site_fract_x
_atom_site_fract_y
_atom_site_fract_z
Y1 Y 0.0000 0.0000 0.0000
Mg1 Mg 0.1863 0.3137 0.5000
Ti1 Ti 0.1037 0.6037 0.0000

Record 4
# YMg2Ti2 (GGA-PBE, relaxed)
# Crystal system   tetragonal
# Energy above the most stable polymorph in this dataset   0.43 eV per formula unit
data_YMg2Ti2
_chemical_formula_sum 'Y2 Mg4 Ti4'
_cell_length_a 8.2872
_cell_length_b 8.2872
_cell_length_c 3.1862
_cell_angle_alpha 90.00
_cell_angle_beta 90.00
_cell_angle_gamma 90.00
_symmetry_space_group_name_H-M 'P 4/m b m'
_symmetry_Int_Tables_number 127
_symmetry_space_group_name_Hall '-P 4 2ab'
loop_
_atom_site_label
_atom_site_type_symbol
_atom_site_fract_x
_atom_site_fract_y
_atom_site_fract_z
Y1 Y 0.0000 0.0000 0.0000
Mg1 Mg 0.1273 0.3727 0.0000
Ti1 Ti 0.1696 0.6696 0.5000

Record 5
# YMg2Ti2 (GGA-PBE, relaxed)
# Crystal system   tetragonal
# Energy above the most stable polymorph in this dataset   0.62 eV per formula unit
data_YMg2Ti2
_chemical_formula_sum 'Y2 Mg4 Ti4'
_cell_length_a 3.7890
_cell_length_b 3.7890
_cell_length_c 16.0482
_cell_angle_alpha 90.00
_cell_angle_beta 90.00
_cell_angle_gamma 90.00
_symmetry_space_group_name_H-M 'I 4/m m m'
_symmetry_Int_Tables_number 139
_symmetry_space_group_name_Hall '-I 4 2'
loop_
_atom_site_label
_atom_site_type_symbol
_atom_site_fract_x
_atom_site_fract_y
_atom_site_fract_z
Y1 Y 0.0000 0.0000 0.0000
Mg1 Mg 0.0000 0.0000 0.3929
Ti1 Ti 0.0000 0.5000 0.2500

Record 6
# YMg4Ti (GGA-PBE, relaxed)
# Crystal system   cubic
data_YMg4Ti
_chemical_formula_sum 'Y4 Mg16 Ti4'
_cell_length_a 8.2582
_cell_length_b 8.2582
_cell_length_c 8.2582
_cell_angle_alpha 90.00
_cell_angle_beta 90.00
_cell_angle_gamma 90.00
_symmetry_space_group_name_H-M 'F -4 3 m'
_symmetry_Int_Tables_number 216
_symmetry_space_group_name_Hall 'F -4 2 3'
loop_
_atom_site_label
_atom_site_type_symbol
_atom_site_fract_x
_atom_site_fract_y
_atom_site_fract_z
Y1 Y 0.0000 0.0000 0.0000
Mg1 Mg 0.1244 0.1244 0.3756
Ti1 Ti 0.2500 0.2500 0.7500

Record 7
# Y3MgTi (GGA-PBE, relaxed)
# Crystal system   cubic
# Energy above the most stable polymorph in this dataset   2.33 eV per formula unit
data_Y3MgTi
_chemical_formula_sum 'Y3 Mg1 Ti1'
_cell_length_a 5.5244
_cell_length_b 5.5244
_cell_length_c 5.5244
_cell_angle_alpha 90.00
_cell_angle_beta 90.00
_cell_angle_gamma 90.00
_symmetry_space_group_name_H-M 'P m -3 m'
_symmetry_Int_Tables_number 221
_symmetry_space_group_name_Hall '-P 4 2 3'
loop_
_atom_site_label
_atom_site_type_symbol
_atom_site_fract_x
_atom_site_fract_y
_atom_site_fract_z
Y1 Y 0.0000 0.0000 0.5000
Mg1 Mg 0.0000 0.0000 0.0000
Ti1 Ti 0.5000 0.5000 0.5000

Record 8
# YMg6Ti (GGA-PBE, relaxed)
# Crystal system   orthorhombic
# Energy above the most stable polymorph in this dataset   0.42 eV per formula unit
data_YMg6Ti
_chemical_formula_sum 'Y2 Mg12 Ti2'
_cell_length_a 5.1148
_cell_length_b 6.5200
_cell_length_c 11.2874
_cell_angle_alpha 90.00
_cell_angle_beta 90.00
_cell_angle_gamma 90.00
_symmetry_space_group_name_H-M 'A m m 2'
_symmetry_Int_Tables_number 38
_symmetry_space_group_name_Hall 'A 2 -2'
loop_
_atom_site_label
_atom_site_type_symbol
_atom_site_fract_x
_atom_site_fract_y
_atom_site_fract_z
Y1 Y 0.0000 0.0000 0.0000
Mg1 Mg 0.0000 0.0000 0.4952
Mg2 Mg 0.0000 0.2369 0.2468
Mg3 Mg 0.5000 0.0000 0.6663
Mg4 Mg 0.5000 0.2466 0.4116
Ti1 Ti 0.5000 0.0000 0.1640

| no. | spin magnetization (μB per formula unit) | DFT formation energy (eV/atom) |
| --- | --- | --- |
| 1 | 0.000 | 0.491 |
| 2 | 3.080 | 0.668 |
| 3 | 1.048 | 0.218 |
| 4 | 0.000 | 0.303 |
| 5 | 0.653 | 0.342 |
| 6 | 2.968 | 0.113 |
| 7 | 2.437 | 0.956 |
| 8 | 1.928 | 0.096 |